Computed, not measured: YVAgF2 after structural relaxation at the PBE with a Hubbard U level of DFT.

* M_tot: 3.98 μB/f.u.
* D(E_F): 3.256 states/eV/cell
* DFT total energy: -4.3695 eV per atom

Unit cell a=4.479 b=5.316 c=4.479 alpha=90.00 beta=90.00 gamma=90.00
Each line ends with the local moment (μB).
Fractional positions:
Y: 0.500 0.500 0.500  0.19
F: 0.000 0.000 0.500  0.02
F: 0.500 0.000 0.000  0.01
Ag: 0.000 0.000 0.000  0.03
V: 0.000 0.500 0.000  2.99